# Sm2BiAu GGA-PBE optimized geometry
# DFT formation energy (kJ/mol of formula units): -298
data_Sm2BiAu
_chemical_formula_sum 'Sm8 Bi4 Au4'
_symmetry_space_group_name_H-M 'C m c m'
_symmetry_Int_Tables_number 63
_symmetry_space_group_name_Hall '-C 2c 2'
_cell_length_a 4.1544
_cell_length_b 23.9647
_cell_length_c 4.7606
_cell_angle_alpha 90.00
_cell_angle_beta 90.00
_cell_angle_gamma 90.00
loop_
_atom_site_label
_atom_site_type_symbol
_atom_site_fract_x
_atom_site_fract_y
_atom_site_fract_z
Sm1 Sm 0.0000 0.0583 0.2500
Sm2 Sm 0.0000 0.3251 0.2500
Bi1 Bi 0.0000 0.1902 0.2500
Au1 Au 0.0000 0.4588 0.2500



# SmZnBiAu GGA-PBE optimized geometry
# DFT formation energy (kJ/mol of formula units): -153
data_SmZnBiAu
_chemical_formula_sum 'Sm4 Zn4 Bi4 Au4'
_symmetry_space_group_name_H-M 'F -4 3 m'
_symmetry_Int_Tables_number 216
_symmetry_space_group_name_Hall 'F -4 2 3'
_cell_length_a 7.2598
_cell_length_b 7.2598
_cell_length_c 7.2598
_cell_angle_alpha 90.00
_cell_angle_beta 90.00
_cell_angle_gamma 90.00
loop_
_atom_site_label
_atom_site_type_symbol
_atom_site_fract_x
_atom_site_fract_y
_atom_site_fract_z
Sm1 Sm 0.0000 0.0000 0.0000
Zn1 Zn 0.2500 0.2500 0.2500
Bi1 Bi 0.0000 0.0000 0.5000
Au1 Au 0.2500 0.2500 0.7500